1.
First-principles (PBE+U) data for an optimized crystal structure of TlInW2O8, as listed in Alexandria.

Cell lengths 5.538, 5.538, 9.030 Å; angles 72.14, 72.14, 60.00 degrees
Atoms (fractional coordinates):
Tl1 0.500 0.500 0.500
In1 0.000 0.000 0.000
W1 0.261 0.261 0.217
W2 0.739 0.739 0.783
O1 0.191 0.191 0.428
O2 0.615 0.244 0.151
O3 0.809 0.809 0.572
O4 0.990 0.615 0.151
O5 0.010 0.385 0.849
O6 0.244 0.990 0.151
O7 0.756 0.010 0.849
O8 0.385 0.756 0.849

Values from the calculation:
- VASP energy (eV/cell) = -79.57
- ρ (Mg/m³) = 6.033

***

2.
First-principles (PBE+U) data for an optimized crystal structure of Tl2InWO6, as listed in Alexandria.

Cell lengths 6.085, 6.085, 10.381 Å; angles 72.96, 72.96, 60.00 degrees
Atoms (fractional coordinates):
Tl1 0.875 0.875 0.376
Tl2 0.125 0.125 0.624
Tl3 0.739 0.739 0.783
Tl4 0.261 0.261 0.217
In1 0.602 0.602 0.194
In2 0.398 0.398 0.806
W1 0.000 0.000 0.000
W2 0.500 0.500 0.500
O1 0.835 0.394 0.377
O2 0.394 0.835 0.377
O3 0.394 0.394 0.377
O4 0.165 0.606 0.623
O5 0.606 0.165 0.623
O6 0.606 0.606 0.623
O7 0.741 0.188 0.883
O8 0.188 0.741 0.883
O9 0.188 0.188 0.883
O10 0.259 0.812 0.117
O11 0.812 0.259 0.117
O12 0.812 0.812 0.117

Values from the calculation:
- VASP energy (eV/cell) = -114.46
- ρ (Mg/m³) = 8.519

***

3.
First-principles (PBE+U) data for an optimized crystal structure of Tl2InW3O12, as listed in Alexandria.

Cell lengths 7.525, 7.525, 7.525 Å; angles 59.55, 59.55, 59.55 degrees
Atoms (fractional coordinates):
Tl1 0.655 0.655 0.655
Tl2 0.345 0.345 0.345
In1 0.000 0.000 0.000
W1 0.500 0.000 0.000
W2 0.000 0.500 0.000
W3 0.000 0.000 0.500
O1 0.302 0.302 0.937
O2 0.924 0.924 0.347
O3 0.347 0.924 0.924
O4 0.937 0.302 0.302
O5 0.924 0.347 0.924
O6 0.302 0.937 0.302
O7 0.698 0.698 0.063
O8 0.076 0.076 0.653
O9 0.653 0.076 0.076
O10 0.063 0.698 0.698
O11 0.076 0.653 0.076
O12 0.698 0.063 0.698

Values from the calculation:
- VASP energy (eV/cell) = -118.34
- ρ (Mg/m³) = 7.056